1.
A relaxed structure of Ca2BiSb. Source: Alexandria via LeMat-Bulk, functional PBE.

Unit cell a=4.9565 b=4.9565 c=7.0862 alpha=69.53 beta=69.53 gamma=60.00
Fractional positions:
Ca1 0.0762 0.0762 0.7714
Ca2 0.2582 0.2582 0.2254
Bi1 0.5030 0.5030 0.4911
Sb1 0.6626 0.6626 0.0121

Results
Total energy   -0.2773 Ry/atom
Relative energy among the computed polymorphs   0 meV per atom
Symmetry   R3m (160)
Raw formation energy   -0.77 eV/atom
M_tot   0.000 Bohr magnetons per cell


2.
A relaxed structure of CaBiSb2. Source: Alexandria via LeMat-Bulk, functional PBE.

Unit cell a=7.1858 b=7.1858 c=8.5578 alpha=65.18 beta=65.18 gamma=90.00
Fractional positions:
Sb1 0.6399 0.1250 0.2500
Sb2 0.1101 0.6250 0.2500
Sb3 0.3750 0.3601 0.7500
Sb4 0.8750 0.8899 0.7500
Ca1 0.5000 0.5000 0.0000
Ca2 0.2500 0.7500 0.5000
Bi1 0.0000 0.0000 0.0000
Bi2 0.7500 0.2500 0.5000

Results
Total energy   -0.2691 Ry/atom
Symmetry   I-42d (122)
Raw formation energy   -0.13 eV/atom
M_tot   0.000 Bohr magnetons per cell